#P
12
Lattice="4.2234 -0.5488 0.2013 0.5461 4.8262 1.6712 -0.3631 0.0729 7.8018" Properties=species:S:1:pos:R:3 comment="Li4CuRh, relaxed, DFT PBE" m_tot_mub_per_fu=0.00 pbc="T T T"
Li 3.2043 1.8252 5.4556
Li 0.9245 0.0728 3.3695
Li 1.1343 0.8261 1.0342
Li 3.2721 3.5242 8.6401
Li 1.4171 3.3344 1.9026
Li 2.9893 1.0160 7.7717
Li 3.4819 4.2776 6.3047
Li 1.2021 2.5251 4.2187
Cu 1.1228 2.9263 6.9686
Cu 3.2836 1.4240 2.7056
Rh 0.8527 0.5242 6.1003
Rh 3.5537 3.8261 3.5739


#Q
6
Lattice="5.6803 0.0000 0.0000 0.0000 5.6803 0.0000 -2.8401 -2.8401 2.5959" Properties=species:S:1:pos:R:3 comment="Li4CuRh, relaxed, DFT PBE" m_tot_mub_per_fu=0.00 pbc="T T T"
Li 4.8397 1.4170 0.6401
Li 0.8406 4.2633 0.6401
Li 1.4232 1.9996 1.9559
Li -1.4232 -1.9996 1.9559
Cu 2.8401 0.0000 1.2980
Rh 2.8401 2.8401 0.0000


Most stable structure, least stable structure: #P, #Q.